Entry P
Compound: DyY2Er8
Source: the Alexandria database
Functional: PBE-GGA
Structure: relaxed

a = 16.966 Å, b = 6.655 Å, c = 6.508 Å
α = 90.00°, β = 109.36°, γ = 90.00°
Space group C2/m (No. 12)
Inequivalent atoms, fractional coordinates:
Dy 0.000 0.000 0.000 x2
Y 0.216 0.500 0.102 x4
Er 0.056 0.500 0.245 x4
Er 0.102 0.238 0.684 x8
Er 0.211 0.000 0.334 x4

Summary:
As for the volume: 31.51 Å³ per atom. For the total magnetic moment, the calculation gives 0.000 μB/atom.

***

Entry Q
Compound: DyY2Er8
Source: the Alexandria database
Functional: PBE-GGA
Structure: relaxed

a = 9.064 Å, b = 16.590 Å, c = 5.867 Å
α = 90.00°, β = 127.45°, γ = 90.00°
Space group C2/m (No. 12)
Inequivalent atoms, fractional coordinates:
Dy 0.000 0.000 0.000 x2
Y 0.000 0.310 0.500 x4
Er 0.000 0.202 0.000 x4
Er 0.045 0.500 0.781 x4
Er 0.223 0.125 0.705 x8

Summary:
As for the volume: 31.84 Å³ per atom. For the total magnetic moment, the calculation gives 0.000 μB/atom.

***

Energies relative to the most stable structure, in meV per atom: entry P 41; entry Q 0.

***

Entry P
Compound: Dy5Y3Er
Source: the Alexandria database
Functional: PBE-GGA
Structure: relaxed

a = 15.137 Å, b = 11.387 Å, c = 9.945 Å
α = 90.00°, β = 130.19°, γ = 90.00°
Space group C2/m (No. 12)
Inequivalent atoms, fractional coordinates:
Dy 0.000 0.243 0.000 x4
Dy 0.156 0.248 0.753 x8
Dy 0.221 0.500 0.037 x4
Dy 0.223 0.000 0.234 x4
Y 0.000 0.000 0.500 x2
Y 0.000 0.500 0.000 x2
Y 0.011 0.000 0.819 x4
Y 0.020 0.500 0.361 x4
Er 0.248 0.000 0.601 x4

Summary:
As for the volume: 36.37 Å³ per atom. For the total magnetic moment, the calculation gives 0.000 μB/atom.

***

Entry Q
Compound: Dy5Y3Er
Source: the Alexandria database
Functional: PBE-GGA
Structure: relaxed

a = 16.228 Å, b = 6.690 Å, c = 11.351 Å
α = 90.00°, β = 108.70°, γ = 90.00°
Space group C2/c (No. 15)
Inequivalent atoms, fractional coordinates:
Dy 0.000 0.181 0.250 x4
Dy 0.107 0.006 0.044 x8
Dy 0.175 0.381 0.374 x8
Y 0.000 0.500 0.000 x4
Y 0.236 0.123 0.854 x8
Er 0.000 0.274 0.750 x4

Summary:
As for the volume: 32.42 Å³ per atom. For the total magnetic moment, the calculation gives 0.000 μB/atom.

***

Energies relative to the most stable structure, in meV per atom: entry P 365; entry Q 0.

***

Entry P
Compound: Dy6Y3Er2
Source: the Alexandria database
Functional: PBE-GGA
Structure: relaxed

a = 3.5456 Å, b = 3.5456 Å, c = 95.2671 Å
α = 90.00°, β = 90.00°, γ = 120.00°
Space group R-3m (No. 166, hexagonal axes)
Inequivalent atoms, fractional coordinates:
Dy 0.0000 0.0000 0.0915 x6
Dy 0.0000 0.0000 0.1818 x6
Dy 0.0000 0.0000 0.3638 x6
Y 0.0000 0.0000 0.0000 x3
Y 0.0000 0.0000 0.2724 x6
Er 0.0000 0.0000 0.4548 x6

Summary:
As for the volume: 31.43 Å³ per atom. For the total magnetic moment, the calculation gives 0.000 μB/atom.

***

Entry Q
Compound: Dy6Y3Er2
Source: the Alexandria database
Functional: PBE-GGA
Structure: relaxed

a = 4.719 Å, b = 4.719 Å, c = 33.015 Å
α = 90.00°, β = 90.00°, γ = 90.00°
Space group I4/mmm (No. 139)
Inequivalent atoms, fractional coordinates:
Dy 0.000 0.000 0.194 x4
Dy 0.000 0.500 0.120 x8
Y 0.000 0.000 0.298 x4
Y 0.000 0.000 0.500 x2
Er 0.000 0.000 0.046 x4

Summary:
As for the volume: 33.41 Å³ per atom. For the total magnetic moment, the calculation gives 0.000 μB/atom.

***

Energies relative to the most stable structure, in meV per atom: entry P 0; entry Q 261.

***

Entry P
Compound: DyY3Er6
Source: the Alexandria database
Functional: PBE-GGA
Structure: relaxed

a = 10.983 Å, b = 18.879 Å, c = 6.127 Å
α = 90.00°, β = 90.00°, γ = 90.00°
Space group Cmc2_1 (No. 36)
Inequivalent atoms, fractional coordinates:
Dy 0.000 0.209 0.000 x4
Y 0.000 0.391 0.084 x4
Y 0.171 0.108 0.694 x8
Er 0.000 0.049 0.224 x4
Er 0.000 0.285 0.513 x4
Er 0.164 0.452 0.623 x8
Er 0.248 0.211 0.288 x8

Summary:
As for the volume: 31.76 Å³ per atom. For the total magnetic moment, the calculation gives 0.000 μB/atom.

***

Entry Q
Compound: DyY3Er6
Source: the Alexandria database
Functional: PBE-GGA
Structure: relaxed

a = 9.328 Å, b = 15.358 Å, c = 8.846 Å
α = 90.00°, β = 90.00°, γ = 90.00°
Space group Cmc2_1 (No. 36)
Inequivalent atoms, fractional coordinates:
Dy 0.000 0.221 0.000 x4
Y 0.000 0.450 0.881 x4
Y 0.175 0.148 0.393 x8
Er 0.000 0.054 0.755 x4
Er 0.000 0.283 0.631 x4
Er 0.177 0.353 0.243 x8
Er 0.245 0.057 0.067 x8

Summary:
As for the volume: 31.68 Å³ per atom. For the total magnetic moment, the calculation gives 0.000 μB/atom.

***

Energies relative to the most stable structure, in meV per atom: entry P 9; entry Q 0.

***

Entry P
Compound: DyY8Er6
Source: the Alexandria database
Functional: PBE-GGA
Structure: relaxed

a = 9.0084 Å, b = 9.0084 Å, c = 20.5965 Å
α = 90.00°, β = 90.00°, γ = 120.00°
Space group R-3 (No. 148, hexagonal axes)
Inequivalent atoms, fractional coordinates:
Dy 0.0000 0.0000 0.0000 x3
Y 0.0000 0.0000 0.4232 x6
Y 0.0819 0.5530 0.8085 x18
Er 0.0664 0.2480 0.7069 x18

Summary:
As for the volume: 32.17 Å³ per atom. For the total magnetic moment, the calculation gives 0.000 μB/atom.

***

Entry Q
Compound: DyY8Er6
Source: the Alexandria database
Functional: PBE-GGA
Structure: relaxed

a = 9.3440 Å, b = 9.3440 Å, c = 6.5648 Å
α = 90.00°, β = 90.00°, γ = 120.00°
Space group P-3 (No. 147)
Inequivalent atoms, fractional coordinates:
Dy 0.0000 0.0000 0.0000 x1
Y 0.0260 0.6899 0.3965 x6
Y 0.3333 0.6667 0.6796 x2
Er 0.0870 0.4089 0.0948 x6

Summary:
As for the volume: 33.09 Å³ per atom. For the total magnetic moment, the calculation gives 0.000 μB/atom.

***

Energies relative to the most stable structure, in meV per atom: entry P 0; entry Q 116.

***

Entry P
Compound: Dy9YEr2
Source: the Alexandria database
Functional: PBE-GGA
Structure: relaxed

a = 5.008 Å, b = 5.008 Å, c = 15.024 Å
α = 90.00°, β = 90.00°, γ = 90.00°
Space group P4/mmm (No. 123)
Inequivalent atoms, fractional coordinates:
Dy 0.000 0.000 0.000 x1
Dy 0.000 0.000 0.334 x2
Dy 0.000 0.500 0.168 x4
Dy 0.000 0.500 0.500 x2
Y 0.500 0.500 0.000 x1
Er 0.500 0.500 0.334 x2

Summary:
As for the volume: 31.40 Å³ per atom. For the total magnetic moment, the calculation gives 0.001 μB/atom.

***

Entry Q
Compound: Dy9YEr2
Source: the Alexandria database
Functional: PBE-GGA
Structure: relaxed

a = 11.1783 Å, b = 11.1783 Å, c = 3.4884 Å
α = 90.00°, β = 90.00°, γ = 120.00°
Space group P6/mmm (No. 191)
Inequivalent atoms, fractional coordinates:
Dy 0.0000 0.5000 0.0000 x3
Dy 0.1767 0.3534 0.5000 x6
Y 0.0000 0.0000 0.0000 x1
Er 0.3333 0.6667 0.0000 x2

Summary:
As for the volume: 31.46 Å³ per atom. For the total magnetic moment, the calculation gives 0.000 μB/atom.

***

Energies relative to the most stable structure, in meV per atom: entry P 0; entry Q 25.

***

Entry P
Compound: Dy6Y2Er3
Source: the Alexandria database
Functional: PBE-GGA
Structure: relaxed

a = 4.694 Å, b = 4.694 Å, c = 33.227 Å
α = 90.00°, β = 90.00°, γ = 90.00°
Space group I4/mmm (No. 139)
Inequivalent atoms, fractional coordinates:
Dy 0.000 0.000 0.197 x4
Dy 0.000 0.500 0.122 x8
Y 0.000 0.000 0.046 x4
Er 0.000 0.000 0.300 x4
Er 0.000 0.000 0.500 x2

Summary:
As for the volume: 33.28 Å³ per atom. For the total magnetic moment, the calculation gives 0.000 μB/atom.

***

Entry Q
Compound: Dy6Y2Er3
Source: the Alexandria database
Functional: PBE-GGA
Structure: relaxed

a = 3.5404 Å, b = 3.5404 Å, c = 95.0533 Å
α = 90.00°, β = 90.00°, γ = 120.00°
Space group R-3m (No. 166, hexagonal axes)
Inequivalent atoms, fractional coordinates:
Dy 0.0000 0.0000 0.0904 x6
Dy 0.0000 0.0000 0.1818 x6
Dy 0.0000 0.0000 0.3635 x6
Y 0.0000 0.0000 0.4543 x6
Er 0.0000 0.0000 0.0000 x3
Er 0.0000 0.0000 0.2731 x6

Summary:
As for the volume: 31.27 Å³ per atom. For the total magnetic moment, the calculation gives 0.000 μB/atom.

***

Energies relative to the most stable structure, in meV per atom: entry P 273; entry Q 0.

***

Entry P
Compound: DyYEr5
Source: the Alexandria database
Functional: PBE-GGA
Structure: relaxed

a = 5.762 Å, b = 8.568 Å, c = 11.902 Å
α = 90.00°, β = 90.00°, γ = 90.00°
Space group Immm (No. 71)
Inequivalent atoms, fractional coordinates:
Dy 0.000 0.000 0.000 x2
Y 0.000 0.000 0.500 x2
Er 0.000 0.000 0.244 x4
Er 0.000 0.322 0.000 x4
Er 0.000 0.500 0.500 x2

Summary:
As for the volume: 41.97 Å³ per atom. For the total magnetic moment, the calculation gives 0.000 μB/atom.

***

Entry Q
Compound: DyYEr5
Source: the Alexandria database
Functional: PBE-GGA
Structure: relaxed

a = 11.582 Å, b = 6.692 Å, c = 12.073 Å
α = 90.00°, β = 109.70°, γ = 90.00°
Space group C2/c (No. 15)
Inequivalent atoms, fractional coordinates:
Dy 0.000 0.027 0.250 x4
Y 0.250 0.250 0.000 x4
Er 0.000 0.417 0.750 x4
Er 0.078 0.269 0.500 x8
Er 0.220 0.360 0.248 x8

Summary:
As for the volume: 31.47 Å³ per atom. For the total magnetic moment, the calculation gives 0.000 μB/atom.

***

Energies relative to the most stable structure, in meV per atom: entry P 952; entry Q 0.

***

Entry P
Compound: Dy12YEr7
Source: the Alexandria database
Functional: PBE-GGA
Structure: relaxed

a = 11.248 Å, b = 11.248 Å, c = 11.248 Å
α = 90.00°, β = 90.00°, γ = 90.00°
Space group Im-3m (No. 229)
Inequivalent atoms, fractional coordinates:
Dy 0.000 0.252 0.252 x24
Y 0.000 0.000 0.000 x2
Er 0.000 0.000 0.500 x6
Er 0.250 0.250 0.250 x8

Summary:
As for the volume: 35.58 Å³ per atom. For the total magnetic moment, the calculation gives 0.000 μB/atom.

***

Entry Q
Compound: Dy12YEr7
Source: the Alexandria database
Functional: PBE-GGA
Structure: relaxed

a = 12.7468 Å, b = 12.7468 Å, c = 13.6078 Å
α = 90.00°, β = 90.00°, γ = 120.00°
Space group R-3 (No. 148, hexagonal axes)
Inequivalent atoms, fractional coordinates:
Dy 0.0004 0.4363 0.2497 x18
Dy 0.0687 0.8689 0.8474 x18
Y 0.0000 0.0000 0.5000 x3
Er 0.0000 0.0000 0.0000 x3
Er 0.0687 0.2001 0.3475 x18

Summary:
As for the volume: 31.91 Å³ per atom. For the total magnetic moment, the calculation gives 0.000 μB/atom.

***

Energies relative to the most stable structure, in meV per atom: entry P 420; entry Q 0.